Entry 1:
The following is a GGA-PBE calculation of a relaxed structure of LaAl4Zn12, from the Alexandria database.

CIF file:
```
data_LaAl4Zn12
_cell_length_a 8.8424
_cell_length_b 8.8424
_cell_length_c 8.8424
_cell_angle_alpha 90.00
_cell_angle_beta 90.00
_cell_angle_gamma 90.00
_symmetry_space_group_name_H-M 'I m -3'
_symmetry_Int_Tables_number 204
_symmetry_space_group_name_Hall '-I 2 2 3'
loop_
_atom_site_label
_atom_site_type_symbol
_atom_site_fract_x
_atom_site_fract_y
_atom_site_fract_z
La1 La 0.0000 0.0000 0.0000
Al1 Al 0.2500 0.2500 0.2500
Zn1 Zn 0.0000 0.1488 0.3562
```

Values from the calculation:
Energy of formation   0.19 eV/atom
Fermi-level density of states   12.1 states/eV/f.u.



Entry 2:
The following is a GGA-PBE calculation of a relaxed structure of BaMoCl2, from the Alexandria database.

CIF file:
```
data_BaMoCl2
_cell_length_a 4.5692
_cell_length_b 4.5692
_cell_length_c 19.1895
_cell_angle_alpha 90.00
_cell_angle_beta 90.00
_cell_angle_gamma 120.00
_symmetry_space_group_name_H-M 'R 3 m'
_symmetry_Int_Tables_number 160
_symmetry_space_group_name_Hall 'R 3 -2"'
loop_
_atom_site_label
_atom_site_type_symbol
_atom_site_fract_x
_atom_site_fract_y
_atom_site_fract_z
Ba1 Ba 0.0000 0.0000 0.0000
Mo1 Mo 0.0000 0.0000 0.7993
Cl1 Cl 0.0000 0.0000 0.2428
Cl2 Cl 0.0000 0.0000 0.4452
```

Values from the calculation:
E_form (uncorrected)   -143 kJ/mol of formula units
Fermi-level density of states   0.8 states/eV/f.u.



Entry 3:
The following is a GGA-PBE calculation of a relaxed structure of Ce6TcSn3, from the Alexandria database.

CIF file:
```
data_Ce6TcSn3
_cell_length_a 10.6479
_cell_length_b 6.6503
_cell_length_c 8.1114
_cell_angle_alpha 90.00
_cell_angle_beta 103.12
_cell_angle_gamma 90.00
_symmetry_space_group_name_H-M 'C 1 2/m 1'
_symmetry_Int_Tables_number 12
_symmetry_space_group_name_Hall '-C 2y'
loop_
_atom_site_label
_atom_site_type_symbol
_atom_site_fract_x
_atom_site_fract_y
_atom_site_fract_z
Ce1 Ce 0.1208 0.2152 0.3649
Ce2 Ce 0.1489 0.5000 0.8777
Tc1 Tc 0.0000 0.5000 0.5000
Sn1 Sn 0.0000 0.0000 0.0000
Sn2 Sn 0.1670 0.0000 0.7408
```

Values from the calculation:
Energy of formation   -0.31 eV/atom
Fermi-level density of states   29.4 states/eV/f.u.



Entry 4:
The following is a GGA-PBE calculation of a relaxed structure of Hf2TiRu, from the Alexandria database.

CIF file:
```
data_Hf2TiRu
_cell_length_a 3.2346
_cell_length_b 3.2346
_cell_length_c 7.0466
_cell_angle_alpha 90.00
_cell_angle_beta 90.00
_cell_angle_gamma 90.00
_symmetry_space_group_name_H-M 'P 4/m m m'
_symmetry_Int_Tables_number 123
_symmetry_space_group_name_Hall '-P 4 2'
loop_
_atom_site_label
_atom_site_type_symbol
_atom_site_fract_x
_atom_site_fract_y
_atom_site_fract_z
Hf1 Hf 0.0000 0.0000 0.2296
Ti1 Ti 0.5000 0.5000 0.5000
Ru1 Ru 0.5000 0.5000 0.0000
```

Values from the calculation:
Energy of formation   -0.35 eV/atom
Fermi-level density of states   5.4 states/eV/f.u.



Entry 5:
The following is a GGA-PBE calculation of a relaxed structure of MoS, from the Alexandria database.

CIF file:
```
data_MoS
_cell_length_a 3.0895
_cell_length_b 3.1071
_cell_length_c 8.4477
_cell_angle_alpha 100.41
_cell_angle_beta 97.75
_cell_angle_gamma 90.04
_symmetry_space_group_name_H-M 'P -1'
_symmetry_Int_Tables_number 2
_symmetry_space_group_name_Hall '-P 1'
loop_
_atom_site_label
_atom_site_type_symbol
_atom_site_fract_x
_atom_site_fract_y
_atom_site_fract_z
Mo1 Mo 0.1167 0.0661 0.1426
S1 S 0.3276 0.3684 0.7233
```

Values from the calculation:
E_form (uncorrected)   -67 kJ/mol of formula units
Fermi-level density of states   0.7 states/eV/f.u.



Entry 6:
The following is a GGA-PBE calculation of a relaxed structure of Al3V12Re, from the Alexandria database.

CIF file:
```
data_Al3V12Re
_cell_length_a 4.7946
_cell_length_b 4.8333
_cell_length_c 9.5817
_cell_angle_alpha 90.00
_cell_angle_beta 90.00
_cell_angle_gamma 90.00
_symmetry_space_group_name_H-M 'P m m m'
_symmetry_Int_Tables_number 47
_symmetry_space_group_name_Hall '-P 2 2'
loop_
_atom_site_label
_atom_site_type_symbol
_atom_site_fract_x
_atom_site_fract_y
_atom_site_fract_z
Al1 Al 0.0000 0.0000 0.0000
Al2 Al 0.5000 0.5000 0.2492
V1 V 0.0000 0.2463 0.2526
V2 V 0.2460 0.5000 0.0000
V3 V 0.2473 0.5000 0.5000
V4 V 0.5000 0.0000 0.1270
V5 V 0.5000 0.0000 0.3768
Re1 Re 0.0000 0.0000 0.5000
```

Values from the calculation:
Energy of formation   -0.18 eV/atom
Fermi-level density of states   23.1 states/eV/f.u.



Entry 7:
The following is a GGA-PBE calculation of a relaxed structure of NbZnO2F, from the Alexandria database.

CIF file:
```
data_NbZnO2F
_cell_length_a 3.9840
_cell_length_b 3.9840
_cell_length_c 3.7360
_cell_angle_alpha 90.00
_cell_angle_beta 90.00
_cell_angle_gamma 90.00
_symmetry_space_group_name_H-M 'P 4/m m m'
_symmetry_Int_Tables_number 123
_symmetry_space_group_name_Hall '-P 4 2'
loop_
_atom_site_label
_atom_site_type_symbol
_atom_site_fract_x
_atom_site_fract_y
_atom_site_fract_z
Nb1 Nb 0.0000 0.0000 0.0000
Zn1 Zn 0.5000 0.5000 0.5000
O1 O 0.0000 0.5000 0.5000
F1 F 0.5000 0.5000 0.0000
```

Values from the calculation:
E_form (uncorrected)   -411 kJ/mol of formula units
Fermi-level density of states   4.3 states/eV/f.u.



Entry 8:
The following is a GGA-PBE calculation of a relaxed structure of KMo3, from the Alexandria database.

CIF file:
```
data_KMo3
_cell_length_a 4.2174
_cell_length_b 4.2174
_cell_length_c 4.2174
_cell_angle_alpha 90.00
_cell_angle_beta 90.00
_cell_angle_gamma 90.00
_symmetry_space_group_name_H-M 'P m -3 m'
_symmetry_Int_Tables_number 221
_symmetry_space_group_name_Hall '-P 4 2 3'
loop_
_atom_site_label
_atom_site_type_symbol
_atom_site_fract_x
_atom_site_fract_y
_atom_site_fract_z
K1 K 0.0000 0.0000 0.0000
Mo1 Mo 0.0000 0.5000 0.5000
```

Values from the calculation:
Energy of formation   1.95 eV/atom
Fermi-level density of states   5.8 states/eV/f.u.



Question: The lowest Fermi-level density of states belongs to which entry?
Answer: MoS



Question: Which value of Fermi-level density of states does entry 1 give?
Answer: 12.1 states/eV/f.u.